(1)
The following is a DFT calculation (PBE) of crystalline TbDyNi2P2 at its relaxed geometry.

The structure in POSCAR format:
```
TbDyNi2P2
1.0
-0.3861 3.6899 -1.1691
-1.3416 -2.8955 -2.2243
-6.8994 0.4223 3.6116
Dy P Ni Tb
1 2 2 1
direct
0.0000 0.0000 0.5000
0.6667 0.3333 0.2512
0.3333 0.6667 0.7488
0.3333 0.6667 0.2509
0.6667 0.3333 0.7491
0.0000 0.0000 0.0000
```

* energy relative to the elements: -1.221 eV per atom
* Fermi-level density of states: 2.76 states/eV/f.u.
* size of the total moment: 0.00 μB/atom

(2)
The following is a DFT calculation (PBE) of crystalline DyTcNiP2 at its relaxed geometry.

The structure in POSCAR format:
```
DyTcNiP2
1.0
-3.4258 -1.8493 0.1648
1.7425 -3.3219 -1.0543
1.6638 1.4910 5.2526
Tc P Dy Ni
1 2 1 1
direct
0.7500 0.2500 0.5000
0.6203 0.6203 0.2407
0.3797 0.3797 0.7593
0.0000 0.0000 0.0000
0.2500 0.7500 0.5000
```

* energy relative to the elements: -0.898 eV per atom
* Fermi-level density of states: 2.85 states/eV/f.u.
* size of the total moment: 0.00 μB/atom

(3)
The following is a DFT calculation (PBE) of crystalline Dy8NiTe4P3 at its relaxed geometry.

The structure in POSCAR format:
```
Dy8NiTe4P3
1.0
8.2542 0.0000 0.0000
0.0000 8.4814 0.1548
-4.1271 -4.1231 5.8390
Dy Te P Ni
8 4 3 1
direct
0.7367 0.7102 0.4735
0.7657 0.2895 0.5314
0.7657 0.2895 0.0238
0.7419 0.7105 0.9762
0.2581 0.2895 0.0238
0.2343 0.7105 0.4686
0.2343 0.7105 0.9762
0.2633 0.2898 0.5265
0.5000 0.0000 0.0000
0.0000 0.0000 0.5000
0.5000 0.0000 0.5000
0.0000 0.0000 0.0000
0.5000 0.5000 0.0000
0.0000 0.5000 0.5000
0.5000 0.5000 0.5000
0.0000 0.5000 0.0000
```

* Fermi-level density of states: 9.57 states/eV/f.u.
* size of the total moment: 0.00 μB/atom
* raw formation energy: -1341.4 meV/atom

(4)
The following is a DFT calculation (PBE) of crystalline DyThNi2P2 at its relaxed geometry.

The structure in POSCAR format:
```
DyThNi2P2
1.0
3.9406 0.0000 0.0000
-1.9703 3.4127 0.0000
0.0000 0.0000 7.8715
P Th Ni Dy
2 1 2 1
direct
0.6667 0.3333 0.7364
0.3333 0.6667 0.2636
0.0000 0.0000 0.0000
0.3333 0.6667 0.7553
0.6667 0.3333 0.2447
0.0000 0.0000 0.5000
```

* energy relative to the elements: -1.229 eV per atom
* Fermi-level density of states: 2.67 states/eV/f.u.
* size of the total moment: 0.00 μB/atom

(5)
The following is a DFT calculation (PBE) of crystalline DyTmNi2P2 at its relaxed geometry.

The structure in POSCAR format:
```
DyTmNi2P2
1.0
3.8715 0.0000 0.0000
-1.9357 3.3528 0.0000
0.0000 0.0000 7.7070
Dy P Ni Tm
1 2 2 1
direct
0.0000 0.0000 0.0000
0.6667 0.3333 0.7469
0.3333 0.6667 0.2531
0.3333 0.6667 0.7465
0.6667 0.3333 0.2535
0.0000 0.0000 0.5000
```

* energy relative to the elements: -1.220 eV per atom
* Fermi-level density of states: 2.75 states/eV/f.u.
* size of the total moment: 0.00 μB/atom

(6)
The following is a DFT calculation (PBE) of crystalline Dy2ZnNi4P3 at its relaxed geometry.

The structure in POSCAR format:
```
Dy2ZnNi4P3
1.0
3.8896 0.0000 0.0000
0.0000 3.8896 0.0000
0.0000 0.0000 9.5943
Ni P Zn Dy
4 3 1 2
direct
0.0000 0.5000 0.3622
0.0000 0.0000 0.0000
0.5000 0.5000 0.0000
0.5000 0.0000 0.6378
0.5000 0.0000 0.8682
0.0000 0.5000 0.1318
0.0000 0.0000 0.5000
0.5000 0.5000 0.5000
0.0000 0.5000 0.7568
0.5000 0.0000 0.2432
```

* energy relative to the elements: -0.910 eV per atom
* Fermi-level density of states: 5.24 states/eV/f.u.
* size of the total moment: 0.00 μB/atom

(7)
The following is a DFT calculation (PBE) of crystalline Dy2Pa2Ni15 at its relaxed geometry.

The structure in POSCAR format:
```
Dy2Pa2Ni15
1.0
-3.5521 4.7501 -2.6370
-1.2074 -2.7600 -5.7497
-5.9055 -2.3728 1.2764
Ni Dy Pa
15 2 2
direct
0.6882 0.3118 0.0000
0.0000 0.0000 0.5000
0.3448 0.3448 0.8371
0.6882 0.0000 0.3118
0.0000 0.3118 0.6882
0.8371 0.3448 0.3448
0.0000 0.6882 0.3118
0.0000 0.5000 0.0000
0.5000 0.0000 0.0000
0.6552 0.1629 0.6552
0.3118 0.0000 0.6882
0.1629 0.6552 0.6552
0.6552 0.6552 0.1629
0.3118 0.6882 0.0000
0.3448 0.8371 0.3448
0.6369 0.6369 0.6369
0.3631 0.3631 0.3631
0.8913 0.8913 0.8913
0.1087 0.1087 0.1087
```

* energy relative to the elements: -0.297 eV per atom
* Fermi-level density of states: 22.83 states/eV/f.u.
* size of the total moment: 0.00 μB/atom

(8)
The following is a DFT calculation (PBE) of crystalline Dy2PaNi at its relaxed geometry.

The structure in POSCAR format:
```
Dy2PaNi
1.0
3.3578 0.0000 0.0000
0.0000 3.3578 0.0000
0.0000 0.0000 8.2887
Pa Dy Ni
1 2 1
direct
0.5000 0.5000 0.5000
0.0000 0.0000 0.7991
0.0000 0.0000 0.2009
0.5000 0.5000 0.0000
```

* energy relative to the elements: -0.060 eV per atom
* Fermi-level density of states: 5.02 states/eV/f.u.
* energy relative to the lowest polymorph listed for this composition: 0.0 kJ/mol of atoms
* size of the total moment: 0.08 μB/atom